First-principles (PBE) data for a relaxed structure of DyMg2In4, as listed in the Alexandria database.

The total energy is -40.179 eV for the cell shown. The formation energy from the elements comes out at -4.43 kcal/mol of atoms. Its crystal system is tetragonal.

Lattice parameters (Å, degrees): 6.6106 6.6106 8.5316 90.00 90.00 90.00
Closest atoms and distances in Å follow each position.
Space group I4/mmm (No. 139)
One atom of each set of equivalent atoms:
Dy1 0.0000 0.0000 0.0000  8 In 3.16, 4 Mg 3.31
Mg1 0.0000 0.5000 0.0000  8 In 3.16, 2 Dy 3.31
In1 0.2500 0.2500 0.2500  2 Dy 3.16, 4 Mg 3.16, 4 In 3.31

=====

First-principles (PBE) data for a relaxed structure of Dy5Mg2In, as listed in the Alexandria database.

The total energy is -117.860 eV for the cell shown. The formation energy from the elements comes out at -1.52 kcal/mol of atoms. Its crystal system is tetragonal.

Lattice parameters (Å, degrees): 8.4426 8.4426 12.9070 90.00 90.00 90.00
Closest atoms and distances in Å follow each position.
Space group I4/mcm (No. 140)
One atom of each set of equivalent atoms:
Dy1 0.0000 0.0000 0.0000  2 In 3.23, 4 Mg 3.27
Dy2 0.1534 0.3466 0.1581  3 Mg 3.20-3.21, 3 Dy 3.31-3.51, 2 In 3.41
Mg1 0.1387 0.3613 0.5000  8 Dy 3.20-3.27, 1 Mg 3.31
In1 0.0000 0.0000 0.2500  10 Dy 3.23-3.41

=====

First-principles (PBE) data for a relaxed structure of DyMg3In2, as listed in the Alexandria database.

The total energy is -64.403 eV for the cell shown. The formation energy from the elements comes out at -4.76 kcal/mol of atoms. Its crystal system is monoclinic.

Lattice parameters (Å, degrees): 17.0679 4.7729 7.6567 90.00 111.07 90.00
Closest atoms and distances in Å follow each position.
Space group C2/m (No. 12)
One atom of each set of equivalent atoms:
Dy1 0.1147 0.0000 0.1819  7 In 3.29-3.53, 5 Mg 3.38-3.59
Mg1 0.0709 0.0000 0.7005  3 In 2.85-3.00, 3 Mg 3.14-3.15
Mg2 0.1241 0.5000 0.5017  4 In 2.86-3.06, 3 Mg 3.00-3.14
Mg3 0.2000 0.5000 0.9205  2 In 2.89-2.98, 3 Mg 2.93-3.00
In1 0.0208 0.5000 0.8358  1 In 2.85, 4 Mg 2.85-2.89
In2 0.2396 0.0000 0.6623  7 Mg 2.98-3.32

=====

First-principles (PBE) data for a relaxed structure of Dy6MgIn2, as listed in the Alexandria database.

The total energy is -67.728 eV for the cell shown. The formation energy from the elements comes out at 2.10 kcal/mol of atoms. Its crystal system is monoclinic.

Lattice parameters (Å, degrees): 16.3889 7.4123 5.1421 90.00 108.20 90.00
Closest atoms and distances in Å follow each position.
Space group C2/m (No. 12)
One atom of each set of equivalent atoms:
Dy1 0.0000 0.2480 0.0000  2 Mg 3.18, 2 In 3.19
Dy2 0.1666 0.2505 0.6668  3 In 3.17-3.18, 1 Mg 3.19
Mg1 0.0000 0.5000 0.5000  8 Dy 3.18-3.19
In1 0.1675 0.0000 0.1677  8 Dy 3.17-3.19

=====

First-principles (PBE) data for a relaxed structure of DyMgIn2, as listed in the Alexandria database.

The total energy is -12.805 eV for the cell shown. The formation energy from the elements comes out at -6.52 kcal/mol of atoms. Its crystal system is tetragonal.

Lattice parameters (Å, degrees): 3.6653 3.6653 7.3558 90.00 90.00 90.00
Closest atoms and distances in Å follow each position.
Space group P4/mmm (No. 123)
One atom of each set of equivalent atoms:
Dy1 0.0000 0.0000 0.0000  8 In 3.28, 4 Dy 3.67
Mg1 0.0000 0.0000 0.5000  8 In 3.09
In1 0.5000 0.5000 0.2722  4 Mg 3.09, 4 Dy 3.28, 1 In 3.35

=====

First-principles (PBE) data for a relaxed structure of Dy2Mg3In, as listed in the Alexandria database.

The total energy is -143.551 eV for the cell shown. The formation energy from the elements comes out at -4.68 kcal/mol of atoms. Its crystal system is orthorhombic.

Lattice parameters (Å, degrees): 6.8563 10.2242 17.6106 90.00 90.00 90.00
Closest atoms and distances in Å follow each position.
Space group Fmmm (No. 69)
One atom of each set of equivalent atoms:
Dy1 0.2484 0.0000 0.0000  2 In 3.38, 10 Mg 3.39-3.42, 2 Dy 3.41-3.45
Dy2 0.2500 0.2500 0.2500  8 Mg 3.40-3.41, 4 In 3.42, 2 Dy 3.43
Mg1 0.0000 0.0000 0.3329  1 In 2.94, 2 Mg 2.96
Mg2 0.0000 0.2491 0.0830  2 Mg 2.92-2.96, 1 In 2.94
In1 0.0000 0.0000 0.1659  3 Mg 2.94

=====

First-principles (PBE) data for a relaxed structure of Dy3Mg2In2, as listed in the Alexandria database.

The total energy is -48.949 eV for the cell shown. The formation energy from the elements comes out at -6.60 kcal/mol of atoms. Its crystal system is orthorhombic.

Lattice parameters (Å, degrees): 3.6393 4.8874 20.9543 90.00 90.00 90.00
Closest atoms and distances in Å follow each position.
Space group Immm (No. 71)
One atom of each set of equivalent atoms:
Dy1 0.0000 0.0000 0.0000  8 Mg 3.37, 4 In 3.51, 2 Dy 3.64
Dy2 0.0000 0.5000 0.2032  5 In 3.21-3.29, 2 Mg 3.36
Mg1 0.0000 0.0000 0.4318  1 Mg 2.86, 2 In 2.91
In1 0.0000 0.5000 0.3566  2 Mg 2.91, 1 Dy 3.21

=====

First-principles (PBE) data for a relaxed structure of DyMgIn, as listed in the Alexandria database.

The total energy is -38.085 eV for the cell shown. The formation energy from the elements comes out at -4.51 kcal/mol of atoms. Its crystal system is cubic.

Lattice parameters (Å, degrees): 7.0312 7.0312 7.0312 90.00 90.00 90.00
Closest atoms and distances in Å follow each position.
Space group F-43m (No. 216)
One atom of each set of equivalent atoms:
Dy1 0.0000 0.0000 0.0000  4 In 3.04
Mg1 0.0000 0.0000 0.5000  4 In 3.04
In1 0.2500 0.2500 0.2500  4 Dy 3.04, 4 Mg 3.04

=====

First-principles (PBE) data for a relaxed structure of Dy5MgIn4, as listed in the Alexandria database.

The total energy is -39.540 eV for the cell shown. The formation energy from the elements comes out at -9.18 kcal/mol of atoms. Its crystal system is tetragonal.

Lattice parameters (Å, degrees): 3.7649 3.7649 18.7652 90.00 90.00 90.00
Closest atoms and distances in Å follow each position.
Space group P4/mmm (No. 123)
One atom of each set of equivalent atoms:
Dy1 0.0000 0.0000 0.0000  8 In 3.26
Dy2 0.0000 0.0000 0.2007  8 In 3.26-3.29
Dy3 0.0000 0.0000 0.4015  4 In 3.24, 4 Mg 3.24
Mg1 0.5000 0.5000 0.5000  8 Dy 3.24
In1 0.5000 0.5000 0.1002  8 Dy 3.26
In2 0.5000 0.5000 0.3034  8 Dy 3.24-3.29

=====

First-principles (PBE) data for a relaxed structure of DyMg2In3, as listed in the Alexandria database.

The total energy is -35.410 eV for the cell shown. The formation energy from the elements comes out at -6.53 kcal/mol of atoms. Its crystal system is orthorhombic.

Lattice parameters (Å, degrees): 4.5698 14.0034 4.4820 90.00 90.00 90.00
Closest atoms and distances in Å follow each position.
Space group Cmmm (No. 65)
One atom of each set of equivalent atoms:
Dy1 0.0000 0.0000 0.0000  8 In 3.20-3.27, 4 Mg 3.32
Mg1 0.0000 0.3280 0.0000  8 In 3.15-3.29, 2 Mg 3.16, 2 Dy 3.32
In1 0.0000 0.1702 0.5000  6 Mg 3.15-3.20, 4 In 3.20-3.30, 2 Dy 3.27
In2 0.0000 0.5000 0.5000  4 Dy 3.20, 4 Mg 3.29, 4 In 3.30

=====

First-principles (PBE) data for a relaxed structure of DyMgIn3, as listed in the Alexandria database.

The total energy is -29.888 eV for the cell shown. The formation energy from the elements comes out at -2.45 kcal/mol of atoms. Its crystal system is orthorhombic.

Lattice parameters (Å, degrees): 10.3058 3.3394 8.1771 90.00 90.00 90.00
Closest atoms and distances in Å follow each position.
Space group Pmma (No. 51)
One atom of each set of equivalent atoms:
Dy1 0.2500 0.0000 0.0964  8 In 3.17-3.24, 2 Dy 3.34, 2 Mg 3.47
Mg1 0.2500 0.5000 0.7248  4 In 3.26-3.42, 2 Mg 3.34, 2 Dy 3.47
In1 0.0000 0.5000 0.0000  4 Dy 3.17, 4 In 3.23-3.34, 2 Mg 3.42
In2 0.0970 0.5000 0.3757  2 In 2.85-3.15

=====

First-principles (PBE) data for a relaxed structure of DyMgIn, as listed in the Alexandria database.

The total energy is -19.213 eV for the cell shown. The formation energy from the elements comes out at -5.16 kcal/mol of atoms. Its crystal system is tetragonal.

Lattice parameters (Å, degrees): 3.4166 3.4166 13.1046 90.00 90.00 90.00
Closest atoms and distances in Å follow each position.
Space group I4mm (No. 107)
One atom of each set of equivalent atoms:
Dy1 0.0000 0.0000 0.0000  4 In 3.27, 4 Mg 3.38, 4 Dy 3.42
Mg1 0.0000 0.0000 0.6807  4 In 3.12, 4 Dy 3.38, 4 Mg 3.42
In1 0.0000 0.0000 0.3316  4 Mg 3.12, 4 Dy 3.27, 4 In 3.42

=====

First-principles (PBE) data for a relaxed structure of Dy2MgIn, as listed in the Alexandria database.

The total energy is -14.764 eV for the cell shown. Its energy above the most stable polymorph in this dataset is 14 meV/atom. The formation energy from the elements comes out at -7.07 kcal/mol of atoms. Its crystal system is tetragonal.

Lattice parameters (Å, degrees): 5.0144 5.0144 4.2227 90.00 90.00 90.00
Closest atoms and distances in Å follow each position.
Space group P4/mmm (No. 123)
One atom of each set of equivalent atoms:
Dy1 0.0000 0.5000 0.0000  4 In 3.28, 4 Mg 3.28, 4 Dy 3.55
Mg1 0.0000 0.0000 0.5000  8 Dy 3.28, 4 In 3.55
In1 0.5000 0.5000 0.5000  8 Dy 3.28, 4 Mg 3.55

=====

First-principles (PBE) data for a relaxed structure of Dy7MgIn4, as listed in the Alexandria database.

The total energy is -92.483 eV for the cell shown. The formation energy from the elements comes out at -2.84 kcal/mol of atoms. Its crystal system is monoclinic.

Lattice parameters (Å, degrees): 14.5763 5.7572 9.4941 90.00 119.87 90.00
Closest atoms and distances in Å follow each position.
Space group C2/m (No. 12)
One atom of each set of equivalent atoms:
Dy1 0.0000 0.0000 0.0000  2 Mg 2.88, 2 In 3.00
Dy2 0.0757 0.5000 0.4153  5 In 3.14-3.47, 2 Dy 3.29-3.32
Dy3 0.1975 0.5000 0.8752  3 In 3.36-3.54, 6 Dy 3.52-3.55, 1 Mg 3.62
Dy4 0.2440 0.5000 0.2790  4 In 3.00-3.19, 1 Mg 3.21, 1 Dy 3.29
Mg1 0.0000 0.5000 0.0000  4 Dy 2.88-3.21
In1 0.0417 0.0000 0.6920  4 Dy 3.00-3.27, 2 In 3.06-3.22
In2 0.1789 0.0000 0.3437  5 Dy 3.00-3.19, 1 In 3.06

=====

First-principles (PBE) data for a relaxed structure of Dy8MgIn5, as listed in the Alexandria database.

The total energy is -110.736 eV for the cell shown. The formation energy from the elements comes out at -5.38 kcal/mol of atoms. Its crystal system is tetragonal.

Lattice parameters (Å, degrees): 9.3290 9.3290 9.3643 90.00 90.00 90.00
Closest atoms and distances in Å follow each position.
Space group I-4 (No. 82)
One atom of each set of equivalent atoms:
Dy1 0.0724 0.3339 0.0411  5 In 3.15-3.34, 1 Mg 3.21, 2 Dy 3.38-3.51
Dy2 0.0805 0.1815 0.6838  5 In 3.11-3.33
Mg1 0.0000 0.0000 0.0000  8 Dy 3.21-3.49
In1 0.0000 0.5000 0.7500  8 Dy 3.13-3.21
In2 0.1290 0.2506 0.3622  8 Dy 3.11-3.34

=====

First-principles (PBE) data for a relaxed structure of Dy3Mg2In3, as listed in the Alexandria database.

The total energy is -55.326 eV for the cell shown. The formation energy from the elements comes out at -7.07 kcal/mol of atoms. Its crystal system is hexagonal.

Lattice parameters (Å, degrees): 8.9605 8.9605 6.0047 90.00 90.00 120.00
Closest atoms and distances in Å follow each position.
Space group P6_3/mcm (No. 193)
One atom of each set of equivalent atoms:
Dy1 0.0000 0.2378 0.2500  5 In 3.15-3.35
Mg1 0.3333 0.6667 0.0000  2 Mg 3.00, 6 In 3.11
In1 0.0000 0.4037 0.7500  4 Mg 3.11, 5 Dy 3.15-3.35, 2 In 3.46

=====

First-principles (PBE) data for a relaxed structure of Dy3Mg2In3, as listed in the Alexandria database.

The total energy is -111.511 eV for the cell shown. The formation energy from the elements comes out at -7.69 kcal/mol of atoms. Its crystal system is orthorhombic.

Lattice parameters (Å, degrees): 4.7045 11.7672 15.3225 90.00 90.00 90.00
Closest atoms and distances in Å follow each position.
Space group Cmcm (No. 63)
One atom of each set of equivalent atoms:
Dy1 0.0000 0.0677 0.1182  6 In 3.21-3.52, 3 Mg 3.42-3.47
Dy2 0.0000 0.3433 0.2500  5 In 3.12-3.48
Mg1 0.0000 0.2244 0.5884  4 In 2.82-2.96
In1 0.0000 0.3613 0.7500  2 Mg 2.95, 4 Dy 3.21
In2 0.0000 0.3990 0.0508  3 Mg 2.82-2.96, 1 In 2.84, 1 Dy 3.12

=====

First-principles (PBE) data for a relaxed structure of Dy6MgIn, as listed in the Alexandria database.

The total energy is -97.345 eV for the cell shown. Its energy above the most stable polymorph in this dataset is 55 meV/atom. The formation energy from the elements comes out at -1.45 kcal/mol of atoms. Its crystal system is trigonal.

Lattice parameters (Å, degrees): 8.7977 8.7977 10.5361 90.00 90.00 120.00
Closest atoms and distances in Å follow each position.
Space group R-3 (No. 148, hexagonal axes)
One atom of each set of equivalent atoms:
Dy1 0.0123 0.7614 0.2339  2 Dy 3.07-3.15, 1 In 3.27, 1 Mg 3.39
Mg1 0.0000 0.0000 0.5000  12 Dy 3.39-3.54
In1 0.0000 0.0000 0.0000  12 Dy 3.27-3.62

=====

First-principles (PBE) data for a relaxed structure of Dy3MgIn4, as listed in the Alexandria database.

The total energy is -58.815 eV for the cell shown. The formation energy from the elements comes out at -8.80 kcal/mol of atoms. Its crystal system is tetragonal.

Lattice parameters (Å, degrees): 5.1723 5.1723 15.3102 90.00 90.00 90.00
Closest atoms and distances in Å follow each position.
Space group I4/mmm (No. 139)
One atom of each set of equivalent atoms:
Dy1 0.0000 0.0000 0.0000  8 In 3.18
Dy2 0.0000 0.0000 0.2547  8 In 3.21-3.30
Mg1 0.0000 0.0000 0.5000  8 In 3.18
In1 0.0000 0.5000 0.1211  6 Dy 3.18-3.30, 2 Mg 3.18

=====

First-principles (PBE) data for a relaxed structure of DyMg4In2, as listed in the Alexandria database.

The total energy is -35.037 eV for the cell shown. The formation energy from the elements comes out at -3.50 kcal/mol of atoms. Its crystal system is tetragonal.

Lattice parameters (Å, degrees): 8.5810 8.5810 4.6439 90.00 90.00 90.00
Closest atoms and distances in Å follow each position.
Space group P4_2/mnm (No. 136)
One atom of each set of equivalent atoms:
Dy1 0.0000 0.0000 0.0000  6 In 3.31-3.71, 4 Mg 3.63
Mg1 0.1043 0.3497 0.5000  3 In 2.89-2.92, 6 Mg 2.98-3.21
In1 0.1946 0.8054 0.5000  6 Mg 2.89-2.92

=====

In g/cm3, the density values for the records above are, in order, 6.0, 7.0, 5.3, 6.9, 7.0, 5.5, 6.8, 5.8, 8.1, 6.4, 6.3, 6.5, 7.3, 7.8, 7.7, 7.0, 6.9, 7.9, 7.9, 4.8.